[1]
TmMgAg4 | GGA-PBE | relaxed

Calculated values
Calculated total energy: -3.0871 eV per atom
Calculated density: 8.471 g/cm3
Excess energy over the best structure of this formula in the dataset: 0.297 eV per formula unit
Formation energy: -0.175 eV per atom

a = 5.5741 Å, b = 5.5741 Å, c = 5.5741 Å
α = 60.00°, β = 60.00°, γ = 60.00°
With the nearest neighbours (Å) after each atom.
Positions (direct):
1 Mg 0.0000 0.0000 0.0000  12 Ag 3.27, 4 Tm 3.41
2 Tm 0.2500 0.2500 0.2500  12 Ag 3.27, 4 Mg 3.41
3 Ag 0.6252 0.6252 0.1243  6 Ag 2.78-2.79
4 Ag 0.6252 0.1243 0.6252  6 Ag 2.78-2.79
5 Ag 0.6252 0.6252 0.6252  6 Ag 2.78-2.79
6 Ag 0.1243 0.6252 0.6252  6 Ag 2.78-2.79

---

[2]
SmHo8Th2 | GGA-PBE | relaxed

Calculated values
Calculated total energy: -4.9070 eV per atom
Calculated density: 9.020 g/cm3
Excess energy over the best structure of this formula in the dataset: 0.141 eV per formula unit
Formation energy: 0.200 eV per atom

a = 5.9328 Å, b = 7.5372 Å, c = 9.2001 Å
α = 111.73°, β = 105.67°, γ = 97.24°
With the nearest neighbours (Å) after each atom.
Positions (direct):
1 Sm 0.5000 0.0000 0.0000  4 Ho 3.32-3.35
2 Ho 0.1571 0.3364 0.2362  4 Ho 3.23-3.52, 2 Th 3.44-3.46
3 Ho 0.9221 0.1000 0.7637  4 Ho 3.22-3.52, 2 Th 3.44-3.46
4 Ho 0.7210 0.4270 0.9992  3 Ho 2.97-3.23, 1 Sm 3.32
5 Ho 0.7079 0.2084 0.4176  1 Sm 3.35, 2 Th 3.36, 6 Ho 3.52-3.71
6 Ho 0.2921 0.7916 0.5824  1 Sm 3.35, 2 Th 3.36, 6 Ho 3.52-3.71
7 Ho 0.2790 0.5730 0.0008  3 Ho 2.97-3.23, 1 Sm 3.32
8 Ho 0.0779 0.9000 0.2363  4 Ho 3.22-3.52, 2 Th 3.44-3.46
9 Ho 0.8429 0.6636 0.7638  4 Ho 3.23-3.52, 2 Th 3.44-3.46
10 Th 0.6942 0.6928 0.3866  8 Ho 3.36-3.46
11 Th 0.3058 0.3072 0.6134  8 Ho 3.36-3.46

---

What did the first record say?
TmMgAg4 | GGA-PBE | relaxed

Calculated values
Calculated total energy: -3.0871 eV per atom
Calculated density: 8.471 g/cm3
Excess energy over the best structure of this formula in the dataset: 0.297 eV per formula unit
Formation energy: -0.175 eV per atom

a = 5.5741 Å, b = 5.5741 Å, c = 5.5741 Å
α = 60.00°, β = 60.00°, γ = 60.00°
With the nearest neighbours (Å) after each atom.
Positions (direct):
1 Mg 0.0000 0.0000 0.0000  12 Ag 3.27, 4 Tm 3.41
2 Tm 0.2500 0.2500 0.2500  12 Ag 3.27, 4 Mg 3.41
3 Ag 0.6252 0.6252 0.1243  6 Ag 2.78-2.79
4 Ag 0.6252 0.1243 0.6252  6 Ag 2.78-2.79
5 Ag 0.6252 0.6252 0.6252  6 Ag 2.78-2.79
6 Ag 0.1243 0.6252 0.6252  6 Ag 2.78-2.79